[1]
A relaxed KAc2Tc2N6 crystal. Source: Alexandria, functional PBE.

```
KAc2Tc2N6
1.0
7.3460 -0.6529 0.7294
3.1443 5.3162 0.4015
0.9611 -3.0553 5.7916
Tc N K Ac
2 6 1 2
direct
0.8386 0.2099 0.1973
0.1614 0.7901 0.8027
0.6181 0.3180 0.1136
0.1038 0.5420 0.6823
0.8323 0.0651 0.4034
0.3819 0.6820 0.8864
0.1677 0.9349 0.5966
0.8962 0.4580 0.3177
0.5000 0.0000 0.5000
0.1753 0.6041 0.2753
0.8247 0.3959 0.7247
```

Total DFT energy (no corrections) (eV for the cell shown): -85.546
Symmetry: P-1

---

[2]
A relaxed K2Ac4Te3N2 crystal. Source: Alexandria, functional PBE.

```
K2Ac4Te3N2
1.0
-2.9541 3.6796 -2.1061
-2.9972 -3.6280 -2.1346
-5.0694 -0.0225 13.4107
Te Ac K N
3 4 2 2
direct
0.0000 0.0000 0.0000
0.8305 0.8305 0.6610
0.1695 0.1695 0.3390
0.0841 0.5841 0.1682
0.5841 0.0841 0.1682
0.9159 0.4159 0.8318
0.4159 0.9159 0.8318
0.3008 0.3008 0.6016
0.6992 0.6992 0.3984
0.5942 0.5942 0.1884
0.4058 0.4058 0.8116
```

Total DFT energy (no corrections) (eV for the cell shown): -56.600
Symmetry: I4/mmm

---

[3]
A relaxed KAcWN3 crystal. Source: Alexandria, functional PBE.

```
KAcWN3
1.0
-3.8642 -0.4803 0.8958
3.7678 -1.9856 6.2772
-0.8805 8.0246 0.5047
W K Ac N
2 2 2 6
direct
0.0107 0.0215 0.3252
0.9893 0.9785 0.6748
0.6314 0.2628 0.0665
0.3686 0.7372 0.9335
0.6653 0.3306 0.6124
0.3347 0.6694 0.3876
0.1493 0.2986 0.3536
0.5130 0.0261 0.3439
0.4870 0.9739 0.6561
0.8779 0.7558 0.2021
0.1221 0.2442 0.7979
0.8507 0.7014 0.6464
```

Total DFT energy (no corrections) (eV for the cell shown): -92.599
Symmetry: C2/m